The following is a DFT calculation (meta-GGA SCAN) of a crystal of BaLi3In relaxed with PBEsol.

a b c (Å): 5.241 5.241 5.241
angles (deg): 90.00 90.00 90.00
Fractional positions:
1 In 0.000 0.000 0.000
2 Ba 0.500 0.500 0.500
3 Li 0.000 0.500 0.000
4 Li 0.500 0.000 0.000
5 Li 0.000 0.000 0.500

Values from the calculation:
Crystal system: cubic
VASP energy in eV/atom: -16.208
Space group: Pm-3m (221)
Formation enthalpy at 0 K in kJ/mol of formula units: -90
Spin magnetization in μB per cell: 0.0

---

The following is a DFT calculation (meta-GGA SCAN) of a crystal of RbNbCrSn2 relaxed with PBEsol.

a b c (Å): 5.357 5.357 5.717
angles (deg): 90.00 90.00 90.00
Last column: magnetic moment on the atom in μB.
Fractional positions:
1 Nb 0.000 0.000 0.000  1.41
2 Rb 0.000 0.000 0.500  0.08
3 Sn 0.000 0.500 0.000  -0.07
4 Sn 0.500 0.000 0.000  -0.07
5 Cr 0.500 0.500 0.500  4.50

Values from the calculation:
Crystal system: tetragonal
VASP energy in eV/atom: -27.896
Space group: P4/mmm (123)
Formation enthalpy at 0 K in kJ/mol of formula units: 445
Spin magnetization in μB per cell: 7.0

---

The following is a DFT calculation (meta-GGA SCAN) of a crystal of Li3ReSe relaxed with PBEsol.

a b c (Å): 4.655 4.655 4.655
angles (deg): 90.00 90.00 90.00
Last column: magnetic moment on the atom in μB.
Fractional positions:
1 Se 0.000 0.000 0.000  0.06
2 Li 0.500 0.000 0.000  0.00
3 Li 0.000 0.500 0.000  0.00
4 Li 0.000 0.000 0.500  0.00
5 Re 0.500 0.500 0.500  3.10

Values from the calculation:
Crystal system: cubic
VASP energy in eV/atom: -19.128
Space group: Pm-3m (221)
E_form (uncorrected) in eV per atom: 0.54
Spin magnetization in μB per cell: 4.0

---

The following is a DFT calculation (meta-GGA SCAN) of a crystal of TiIn2AsRh relaxed with PBEsol.

a b c (Å): 4.450 5.154 5.154
angles (deg): 90.00 90.00 90.00
Last column: magnetic moment on the atom in μB.
Fractional positions:
1 Rh 0.500 0.000 0.000  -0.10
2 In 0.000 0.000 0.500  -0.03
3 In 0.000 0.500 0.000  -0.03
4 Ti 0.500 0.500 0.500  1.76
5 As 0.000 0.000 0.000  0.02

Values from the calculation:
Crystal system: tetragonal
VASP energy in eV/atom: -26.757
Space group: P4/mmm (123)
Formation enthalpy at 0 K in kJ/mol of formula units: 288
Spin magnetization in μB per cell: 2.0

---

The following is a DFT calculation (meta-GGA SCAN) of a crystal of Sb2PAu relaxed with PBEsol.

a b c (Å): 3.423 5.194 5.723
angles (deg): 116.99 107.40 90.00
Fractional positions:
1 Sb 0.783 0.283 0.567
2 Sb 0.955 0.955 0.910
3 P 0.230 0.730 0.460
4 Au 0.532 0.532 0.063

Values from the calculation:
Crystal system: orthorhombic
VASP energy in eV/atom: -38.181
Space group: Imm2 (44)
E_form (uncorrected) in eV per atom: 0.34
Spin magnetization in μB per cell: 0.0

---

The following is a DFT calculation (meta-GGA SCAN) of a crystal of SrZrNi relaxed with PBEsol.

a b c (Å): 4.574 4.574 4.574
angles (deg): 60.00 60.00 60.00
Fractional positions:
1 Sr 0.500 0.500 0.500
2 Zr 0.250 0.250 0.250
3 Ni 0.000 0.000 0.000

Values from the calculation:
Crystal system: cubic
VASP energy in eV/atom: -22.069
Space group: F-43m (216)
Formation enthalpy at 0 K in kJ/mol of formula units: 284
Spin magnetization in μB per cell: 0.0